# 1
Below is Sr3TbDy3S8 after structural relaxation, with properties calculated at the PBE level.

It has space group R-3m (No. 166, hexagonal axes), with a = 8.0047 Å, b = 8.0047 Å, c = 20.5669 Å, α = 90.00°, β = 90.00° and γ = 120.00°. The distinct sites, in fractional coordinates, are Sr at (0.0000, 0.5000, 0.0000), Tb at (0.0000, 0.0000, 0.5000), Dy at (0.0000, 0.5000, 0.5000), S at (0.0000, 0.0000, 0.2429) and S at (0.9998, 0.4999, 0.2414).

The total magnetization is 0.00 μB per atom. Its calculated total energy is -5.852 eV per atom. The value obtained for the density of states at the Fermi level is 4.620 states/eV/f.u.

=====

# 2
Below is SrTbDy4S8 after structural relaxation, with properties calculated at the PBE level.

It has space group R3m (No. 160, hexagonal axes), with a = 8.1609 Å, b = 8.1609 Å, c = 20.0291 Å, α = 90.00°, β = 90.00° and γ = 120.00°. The distinct sites, in fractional coordinates, are Sr at (0.0000, 0.0000, 0.0000), Tb at (0.0000, 0.0000, 0.6272), Dy at (0.0000, 0.0000, 0.2503), Dy at (0.1691, 0.3382, 0.4580), S at (0.0000, 0.0000, 0.3829), S at (0.0000, 0.0000, 0.8610), S at (0.0369, 0.5185, 0.3805) and S at (0.1764, 0.3527, 0.2058).

The total magnetization is 0.00 μB per atom. Its calculated total energy is -6.118 eV per atom. The value obtained for the density of states at the Fermi level is 3.551 states/eV/f.u.

=====

# 3
Below is SrTb2DyS4 after structural relaxation, with properties calculated at the PBE level.

It has space group P2/m (No. 10), with a = 6.929 Å, b = 3.972 Å, c = 6.929 Å, α = 90.00°, β = 109.07° and γ = 90.00°. The distinct sites, in fractional coordinates, are Sr at (0.000, 0.000, 0.000), Tb at (0.000, 0.500, 0.500), Tb at (0.500, 0.000, 0.500), Dy at (0.500, 0.500, 0.000), S at (0.257, 0.000, 0.746) and S at (0.262, 0.500, 0.261).

The total magnetization is 0.00 μB per atom. Its calculated total energy is -6.006 eV per atom. The value obtained for the density of states at the Fermi level is 2.581 states/eV/f.u.

=====

# 4
Below is SrTb4DyS8 after structural relaxation, with properties calculated at the PBE level.

It has space group R3m (No. 160, hexagonal axes), with a = 8.1904 Å, b = 8.1904 Å, c = 20.0350 Å, α = 90.00°, β = 90.00° and γ = 120.00°. The distinct sites, in fractional coordinates, are Sr at (0.0000, 0.0000, 0.0000), Tb at (0.0000, 0.0000, 0.2499), Tb at (0.1691, 0.3382, 0.4577), Dy at (0.0000, 0.0000, 0.6269), S at (0.0000, 0.0000, 0.3825), S at (0.0000, 0.0000, 0.8610), S at (0.0377, 0.5188, 0.3792) and S at (0.1773, 0.3545, 0.2062).

The total magnetization is 0.00 μB per atom. Its calculated total energy is -6.126 eV per atom. The value obtained for the density of states at the Fermi level is 3.557 states/eV/f.u.

=====

# 5
Below is Sr2TbDyS4 after structural relaxation, with properties calculated at the PBE level.

It has space group P2/m (No. 10), with a = 6.993 Å, b = 4.044 Å, c = 7.174 Å, α = 90.00°, β = 109.01° and γ = 90.00°. The distinct sites, in fractional coordinates, are Sr at (0.000, 0.000, 0.000), Sr at (0.500, 0.500, 0.000), Tb at (0.000, 0.500, 0.500), Dy at (0.500, 0.000, 0.500), S at (0.245, 0.000, 0.730) and S at (0.258, 0.500, 0.271).

The total magnetization is 0.00 μB per atom. Its calculated total energy is -5.679 eV per atom. The value obtained for the density of states at the Fermi level is 3.441 states/eV/f.u.

=====

# 6
Below is SrDy4TmS8 after structural relaxation, with properties calculated at the PBE level.

It has space group R3m (No. 160, hexagonal axes), with a = 8.1510 Å, b = 8.1510 Å, c = 19.8778 Å, α = 90.00°, β = 90.00° and γ = 120.00°. The distinct sites, in fractional coordinates, are Sr at (0.0000, 0.0000, 0.0000), Dy at (0.0000, 0.0000, 0.7507), Dy at (0.0050, 0.5025, 0.8760), Tm at (0.0000, 0.0000, 0.3735), S at (0.0000, 0.0000, 0.1395), S at (0.0000, 0.0000, 0.6181), S at (0.0226, 0.5113, 0.1269) and S at (0.1865, 0.3730, 0.9552).

The total magnetization is 0.00 μB per atom. Its calculated total energy is -6.104 eV per atom. The value obtained for the density of states at the Fermi level is 3.142 states/eV/f.u.

=====

# 7
Below is SrDyTm4S8 after structural relaxation, with properties calculated at the PBE level.

It has space group R3m (No. 160, hexagonal axes), with a = 8.0672 Å, b = 8.0672 Å, c = 19.8637 Å, α = 90.00°, β = 90.00° and γ = 120.00°. The distinct sites, in fractional coordinates, are Sr at (0.0000, 0.0000, 0.0000), Dy at (0.0000, 0.0000, 0.6277), Tm at (0.0000, 0.0000, 0.2509), Tm at (0.1692, 0.3383, 0.4584), S at (0.0000, 0.0000, 0.3833), S at (0.0000, 0.0000, 0.8606), S at (0.0374, 0.5187, 0.3818) and S at (0.1755, 0.3510, 0.2055).

The total magnetization is 0.00 μB per atom. Its calculated total energy is -6.066 eV per atom. The value obtained for the density of states at the Fermi level is 3.564 states/eV/f.u.

=====

# 8
Below is Sr3Dy3TmS8 after structural relaxation, with properties calculated at the PBE level.

It has space group R-3m (No. 166, hexagonal axes), with a = 7.9820 Å, b = 7.9820 Å, c = 20.5692 Å, α = 90.00°, β = 90.00° and γ = 120.00°. The distinct sites, in fractional coordinates, are Sr at (0.0000, 0.5000, 0.0000), Dy at (0.0000, 0.5000, 0.5000), Tm at (0.0000, 0.0000, 0.5000), S at (0.0000, 0.0000, 0.2429) and S at (0.0044, 0.5022, 0.2405).

The total magnetization is 0.00 μB per atom. Its calculated total energy is -5.844 eV per atom. The value obtained for the density of states at the Fermi level is 4.465 states/eV/f.u.

=====

# 9
Below is SrDy2TmS4 after structural relaxation, with properties calculated at the PBE level.

It has space group P2/m (No. 10), with a = 6.881 Å, b = 3.945 Å, c = 6.882 Å, α = 90.00°, β = 109.06° and γ = 90.00°. The distinct sites, in fractional coordinates, are Sr at (0.000, 0.000, 0.000), Dy at (0.000, 0.500, 0.500), Dy at (0.500, 0.000, 0.500), Tm at (0.500, 0.500, 0.000), S at (0.260, 0.000, 0.749) and S at (0.265, 0.500, 0.260).

The total magnetization is 0.00 μB per atom. Its calculated total energy is -5.951 eV per atom. The value obtained for the density of states at the Fermi level is 2.581 states/eV/f.u.

=====

# 10
Below is SrDyTm2S4 after structural relaxation, with properties calculated at the PBE level.

It has space group P2/m (No. 10), with a = 6.849 Å, b = 3.925 Å, c = 6.859 Å, α = 90.00°, β = 109.04° and γ = 90.00°. The distinct sites, in fractional coordinates, are Sr at (0.000, 0.000, 0.000), Dy at (0.500, 0.500, 0.000), Tm at (0.000, 0.500, 0.500), Tm at (0.500, 0.000, 0.500), S at (0.253, 0.000, 0.738) and S at (0.264, 0.500, 0.268).

The total magnetization is 0.00 μB per atom. Its calculated total energy is -5.928 eV per atom. The value obtained for the density of states at the Fermi level is 2.568 states/eV/f.u.

=====

# 11
Below is SrDy4YS8 after structural relaxation, with properties calculated at the PBE level.

It has space group R3m (No. 160, hexagonal axes), with a = 8.1601 Å, b = 8.1601 Å, c = 20.0008 Å, α = 90.00°, β = 90.00° and γ = 120.00°. The distinct sites, in fractional coordinates, are Sr at (0.0000, 0.0000, 0.0000), Dy at (0.0000, 0.0000, 0.2502), Dy at (0.1692, 0.3384, 0.4578), Y at (0.0000, 0.0000, 0.6270), S at (0.0000, 0.0000, 0.3828), S at (0.0000, 0.0000, 0.8609), S at (0.0373, 0.5187, 0.3801) and S at (0.1766, 0.3531, 0.2058).

The total magnetization is 0.00 μB per atom. Its calculated total energy is -6.251 eV per atom. The value obtained for the density of states at the Fermi level is 3.457 states/eV/f.u.

=====

# 12
Below is SrDyY2S4 after structural relaxation, with properties calculated at the PBE level.

It has space group P2/m (No. 10), with a = 6.920 Å, b = 3.968 Å, c = 6.921 Å, α = 90.00°, β = 109.09° and γ = 90.00°. The distinct sites, in fractional coordinates, are Sr at (0.000, 0.000, 0.000), Dy at (0.000, 0.500, 0.500), Y at (0.500, 0.000, 0.500), Y at (0.500, 0.500, 0.000), S at (0.254, 0.000, 0.744) and S at (0.261, 0.500, 0.262).

The total magnetization is 0.00 μB per atom. Its calculated total energy is -6.461 eV per atom. The value obtained for the density of states at the Fermi level is 2.762 states/eV/f.u.

=====

# 13
Below is SrDyY4S8 after structural relaxation, with properties calculated at the PBE level.

It has space group R3m (No. 160, hexagonal axes), with a = 8.1723 Å, b = 8.1723 Å, c = 20.0085 Å, α = 90.00°, β = 90.00° and γ = 120.00°. The distinct sites, in fractional coordinates, are Sr at (0.0000, 0.0000, 0.0000), Dy at (0.0000, 0.0000, 0.6268), Y at (0.0000, 0.0000, 0.2498), Y at (0.1691, 0.3381, 0.4577), S at (0.0000, 0.0000, 0.3825), S at (0.0000, 0.0000, 0.8609), S at (0.0378, 0.5189, 0.3794) and S at (0.1771, 0.3542, 0.2058).

The total magnetization is 0.00 μB per atom. Its calculated total energy is -6.654 eV per atom. The value obtained for the density of states at the Fermi level is 3.711 states/eV/f.u.

=====

# 14
Below is Sr2DyYS4 after structural relaxation, with properties calculated at the PBE level.

It has space group P2/m (No. 10), with a = 6.988 Å, b = 4.041 Å, c = 7.170 Å, α = 90.00°, β = 109.01° and γ = 90.00°. The distinct sites, in fractional coordinates, are Sr at (0.000, 0.000, 0.000), Sr at (0.500, 0.500, 0.000), Dy at (0.000, 0.500, 0.500), Y at (0.500, 0.000, 0.500), S at (0.243, 0.000, 0.729) and S at (0.256, 0.500, 0.271).

The total magnetization is 0.00 μB per atom. Its calculated total energy is -5.908 eV per atom. The value obtained for the density of states at the Fermi level is 3.541 states/eV/f.u.

=====

# 15
Below is SrDy2YS4 after structural relaxation, with properties calculated at the PBE level.

It has space group P2/m (No. 10), with a = 6.915 Å, b = 3.964 Å, c = 6.916 Å, α = 90.00°, β = 109.08° and γ = 90.00°. The distinct sites, in fractional coordinates, are Sr at (0.000, 0.000, 0.000), Dy at (0.000, 0.500, 0.500), Dy at (0.500, 0.000, 0.500), Y at (0.500, 0.500, 0.000), S at (0.255, 0.000, 0.743) and S at (0.262, 0.500, 0.263).

The total magnetization is 0.00 μB per atom. Its calculated total energy is -6.227 eV per atom. The value obtained for the density of states at the Fermi level is 2.723 states/eV/f.u.

=====

# 16
Below is DyTaS after structural relaxation, with properties calculated at the PBE level.

It has space group C2/m (No. 12), with a = 12.480 Å, b = 3.209 Å, c = 6.335 Å, α = 90.00°, β = 110.32° and γ = 90.00°. The distinct sites, in fractional coordinates, are Dy at (0.027, 0.000, 0.276), Ta at (0.216, 0.500, 0.676) and S at (0.146, 0.500, 0.032).

The total magnetization is 0.00 μB per atom. Its calculated total energy is -7.410 eV per atom. The value obtained for the density of states at the Fermi level is 1.997 states/eV/f.u.

=====

# 17
Below is DyTaS4 after structural relaxation, with properties calculated at the PBE level.

It has space group P2_1/c (No. 14), with a = 6.999 Å, b = 6.331 Å, c = 6.825 Å, α = 90.00°, β = 112.72° and γ = 90.00°. The distinct sites, in fractional coordinates, are Dy at (0.000, 0.000, 0.000), Ta at (0.500, 0.000, 0.500), S at (0.159, 0.143, 0.400) and S at (0.390, 0.677, 0.655).

The total magnetization is 0.00 μB per atom. Its calculated total energy is -6.768 eV per atom.

=====

# 18
Below is Dy2TaS5 after structural relaxation, with properties calculated at the PBE level.

It has space group Cmcm (No. 63), with a = 5.150 Å, b = 13.044 Å, c = 12.520 Å, α = 90.00°, β = 90.00° and γ = 90.00°. The distinct sites, in fractional coordinates, are Dy at (0.000, 0.147, 0.063), Ta at (0.000, 0.188, 0.750), S at (0.000, 0.049, 0.624), S at (0.000, 0.272, 0.250) and S at (0.000, 0.307, 0.589).

The total magnetization is 0.13 μB per atom. Its calculated total energy is -6.702 eV per atom. The value obtained for the density of states at the Fermi level is 3.683 states/eV/f.u.

=====

# 19
Below is DyTa2S5 after structural relaxation, with properties calculated at the PBE level.

It has space group C2/m (No. 12), with a = 5.621 Å, b = 12.074 Å, c = 6.661 Å, α = 90.00°, β = 90.04° and γ = 90.00°. The distinct sites, in fractional coordinates, are Dy at (0.000, 0.000, 0.000), Ta at (0.000, 0.293, 0.000), S at (0.000, 0.500, 0.000) and S at (0.161, 0.173, 0.241).

The total magnetization is 0.00 μB per atom. Its calculated total energy is -7.215 eV per atom. The value obtained for the density of states at the Fermi level is 3.122 states/eV/f.u.

=====

# 20
Below is DyTa4S8 after structural relaxation, with properties calculated at the PBE level.

It has space group R-3m (No. 166, hexagonal axes), with a = 6.8104 Å, b = 6.8104 Å, c = 19.8037 Å, α = 90.00°, β = 90.00° and γ = 120.00°. The distinct sites, in fractional coordinates, are Dy at (0.0000, 0.0000, 0.0000), Ta at (0.0000, 0.0000, 0.5000), Ta at (0.0000, 0.5000, 0.5000), S at (0.0000, 0.0000, 0.2435) and S at (0.0092, 0.5046, 0.2452).

The total magnetization is 0.00 μB per atom. Its calculated total energy is -7.706 eV per atom. The value obtained for the density of states at the Fermi level is 5.571 states/eV/f.u.

=====

# 21
Below is DyTa6S8 after structural relaxation, with properties calculated at the PBE level.

It has space group R-3 (No. 148, hexagonal axes), with a = 9.1647 Å, b = 9.1647 Å, c = 11.8162 Å, α = 90.00°, β = 90.00° and γ = 120.00°. The distinct sites, in fractional coordinates, are Dy at (0.0000, 0.0000, 0.0000), Ta at (0.0206, 0.1870, 0.3887), S at (0.0000, 0.0000, 0.2295) and S at (0.0012, 0.3725, 0.2405).

The total magnetization is 0.00 μB per atom. Its calculated total energy is -8.183 eV per atom. The value obtained for the density of states at the Fermi level is 8.117 states/eV/f.u.

=====

no.,raw formation energy (kJ/mol of atoms)
1,-201.2
2,-192.4
3,-192.9
4,-192.6
5,-196.9
6,-192.1
7,-191.1
8,-201.5
9,-189.9
10,-189.2
11,-192.5
12,-192.5
13,-193.0
14,-196.9
15,-192.4
16,-53.0
17,-122.9
18,-143.8
19,-105.8
20,-112.4
21,-90.1